Ho2ZnNi2 | PBE | relaxed

Cell: 5.3155 5.3753 7.6585 Å, 103.22 90.00 119.63°
Fractional positions:
Ho  0.4947  0.2933  0.1470
Ho  0.2014  0.7067  0.3530
Ho  0.5053  0.7067  0.8530
Ho  0.7986  0.2933  0.6470
Zn  0.8465  0.0000  0.2500
Zn  0.1535  0.0000  0.7500
Ni  0.7201  0.7219  0.4956
Ni  0.9982  0.2781  0.0044
Ni  0.2799  0.2781  0.5044
Ni  0.0018  0.7219  0.9956

Total moment, μB per formula unit: 0.0
Formation enthalpy at 0 K, kJ/mol of atoms: -45.5
Space-group type: No. 15
Energy, Ha/atom: -0.179